A | Density functional theory data (GGA-PBE) for Hg2BrF after structural relaxation.

## Properties
Its space group is No. 1. The magnetic moment is 0.00 μB per cell. The density of states at the Fermi level is 0.000 states/eV per atom.

Cell: 5.2753 6.2822 8.4213 Å, 74.67 89.68 65.47°
Fractional positions:
Br: 0.2672 0.4687 0.9359
Br: 0.6283 0.7616 0.2514
F: 0.8283 0.3431 0.6978
F: 0.2850 0.4341 0.4884
Hg: 0.6567 0.6963 0.7502
Hg: 0.4403 0.1362 0.7844
Hg: 0.8627 0.2998 0.4016
Hg: 0.0927 0.8310 0.4359

B | Density functional theory data (GGA-PBE) for Hg2BrF after structural relaxation.

## Properties
Its space group is No. 225. The magnetic moment is 0.00 μB per cell. The density of states at the Fermi level is 0.570 states/eV per atom.

Cell: 4.9979 4.9979 4.9979 Å, 60.00 60.00 60.00°
Fractional positions:
Br: 0.5000 0.5000 0.5000
Hg: 0.7500 0.7500 0.7500
Hg: 0.2500 0.2500 0.2500
F: 0.0000 0.0000 0.0000

From most stable to least stable, the computed energies give A, B.

A | Density functional theory data (GGA-PBE) for Hg2BrF after structural relaxation.

## Properties
Its space group is No. 2. The magnetic moment is 0.00 μB per cell. The density of states at the Fermi level is 0.000 states/eV per atom.

Cell: 5.8606 6.3120 7.0945 Å, 96.97 109.87 110.27°
Fractional positions:
Hg: 0.6416 0.3542 0.3509
Hg: 0.7791 0.0228 0.2407
Hg: 0.3584 0.6458 0.6491
Hg: 0.2209 0.9772 0.7593
Br: 0.1213 0.2956 0.9292
Br: 0.8787 0.7044 0.0708
F: 0.6854 0.7114 0.4859
F: 0.3146 0.2886 0.5141

B | Density functional theory data (GGA-PBE) for Hg2BrF after structural relaxation.

## Properties
Its space group is No. 122. The magnetic moment is 0.00 μB per cell. The density of states at the Fermi level is 0.503 states/eV per atom.

Cell: 5.2184 5.2184 8.8245 Å, 72.80 72.80 90.00°
Fractional positions:
Hg: 0.5147 0.1250 0.2500
Hg: 0.8750 0.7647 0.7500
Hg: 0.2353 0.6250 0.2500
Hg: 0.3750 0.4853 0.7500
Br: 0.0000 0.0000 0.0000
Br: 0.7500 0.2500 0.5000
F: 0.5000 0.5000 0.0000
F: 0.2500 0.7500 0.5000

From most stable to least stable, the computed energies give A, B.

A | Density functional theory data (GGA-PBE) for Hg2BrF2 after structural relaxation.

## Properties
Its space group is No. 1. The magnetic moment is 0.00 μB per cell. The density of states at the Fermi level is 0.000 states/eV per atom.

Cell: 6.6256 6.4965 7.2166 Å, 110.05 96.27 121.26°
Fractional positions:
Br: 0.8416 0.3505 0.7621
Br: 0.8886 0.6675 0.4038
Hg: 0.1134 0.2043 0.1205
Hg: 0.3661 0.9208 0.5789
Hg: 0.7091 0.6634 0.9837
Hg: 0.6702 0.0979 0.1779
F: 0.3578 0.2455 0.9109
F: 0.4384 0.7510 0.7986
F: 0.3569 0.0790 0.2623
F: 0.4100 0.6547 0.2754

B | Density functional theory data (GGA-PBE) for Hg2BrF2 after structural relaxation.

## Properties
Its space group is No. 1. The magnetic moment is 0.00 μB per cell. The density of states at the Fermi level is 0.200 states/eV per atom.

Cell: 3.9168 3.9291 7.9003 Å, 80.81 81.32 73.16°
Fractional positions:
F: 0.4757 0.3451 0.1073
F: 0.8383 0.7035 0.3331
Hg: 0.4786 0.3408 0.4138
Hg: 0.1082 0.9792 0.0288
Br: 0.1410 0.0017 0.6596

From most stable to least stable, the computed energies give A, B.

A | Density functional theory data (GGA-PBE) for Hg2BrF2 after structural relaxation.

## Properties
Its space group is No. 2. The magnetic moment is 0.00 μB per cell. The density of states at the Fermi level is 0.000 states/eV per atom.

Cell: 4.1149 7.5552 8.4742 Å, 68.31 83.08 71.80°
Fractional positions:
Hg: 0.0953 0.4800 0.6492
Hg: 0.9047 0.5200 0.3508
Hg: 0.3385 0.8062 0.9251
Hg: 0.6615 0.1938 0.0749
F: 0.4639 0.4828 0.8264
F: 0.8835 0.8209 0.0992
F: 0.1165 0.1791 0.9008
F: 0.5361 0.5172 0.1736
Br: 0.7811 0.8940 0.6942
Br: 0.2189 0.1060 0.3058

B | Density functional theory data (GGA-PBE) for Hg2BrF2 after structural relaxation.

## Properties
Its space group is No. 1. The magnetic moment is 0.00 μB per cell. The density of states at the Fermi level is 0.000 states/eV per atom.

Cell: 6.2206 6.3056 6.7660 Å, 75.95 83.06 63.54°
Fractional positions:
Br: 0.4865 0.3371 0.9396
Br: 0.7408 0.7853 0.5732
Hg: 0.0372 0.0278 0.3860
Hg: 0.1610 0.7624 0.0700
Hg: 0.5182 0.7788 0.2645
Hg: 0.3659 0.2521 0.6388
F: 0.1761 0.3390 0.3637
F: 0.1446 0.9930 0.7223
F: 0.8218 0.7429 0.0326
F: 0.6698 0.3422 0.3746

From most stable to least stable, the computed energies give A, B.

A | Density functional theory data (GGA-PBE) for Hg2Br2F after structural relaxation.

## Properties
Its space group is No. 1. The magnetic moment is 0.00 μB per cell. The density of states at the Fermi level is 0.134 states/eV per atom.

Cell: 4.6079 5.4379 6.4684 Å, 84.58 69.56 88.60°
Fractional positions:
Hg: 0.4830 0.8334 0.8624
Hg: 0.7176 0.7615 0.4041
Br: 0.5646 0.3418 0.6985
Br: 0.2719 0.0350 0.2734
F: 0.8989 0.7064 0.0380

B | Density functional theory data (GGA-PBE) for Hg2Br2F after structural relaxation.

## Properties
Its space group is No. 1. The magnetic moment is 0.00 μB per cell. The density of states at the Fermi level is 0.194 states/eV per atom.

Cell: 4.4479 4.4622 8.6193 Å, 99.27 103.26 103.54°
Fractional positions:
Br: 0.5940 0.1011 0.0492
Br: 0.5052 0.6477 0.4958
Hg: 0.9941 0.1496 0.4864
Hg: 0.8095 0.7311 0.8933
F: 0.0332 0.4162 0.7989

C | Density functional theory data (GGA-PBE) for Hg2Br2F after structural relaxation.

## Properties
Its space group is No. 1. The magnetic moment is 0.00 μB per cell. The density of states at the Fermi level is 0.002 states/eV per atom.

Cell: 5.8237 6.7415 7.1212 Å, 100.08 90.54 90.38°
Fractional positions:
Br: 0.3816 0.3485 0.6832
Br: 0.8853 0.8843 0.7036
Br: 0.8770 0.0913 0.2985
Br: 0.8787 0.5826 0.0777
F: 0.3830 0.8011 0.9296
F: 0.3672 0.3091 0.1583
Hg: 0.8949 0.2067 0.9496
Hg: 0.3729 0.6540 0.2064
Hg: 0.3815 0.0699 0.3641
Hg: 0.3819 0.7410 0.6061

D | Density functional theory data (GGA-PBE) for Hg2Br2F after structural relaxation.

## Properties
Its space group is No. 2. The magnetic moment is 0.00 μB per cell. The density of states at the Fermi level is 0.240 states/eV per atom.

Cell: 4.2114 5.9644 6.4647 Å, 117.36 90.31 90.44°
Fractional positions:
Br: 0.1257 0.8491 0.1969
Br: 0.8743 0.1509 0.8031
F: 0.5000 0.5000 0.5000
Hg: 0.0066 0.6234 0.7452
Hg: 0.9934 0.3766 0.2548

From most stable to least stable, the computed energies give C, B, A, D.